! MgScTa2 PBE relaxed; values from VASP
! * calculated total energy: -30.6 eV per formula unit
! * crystal system: monoclinic
! * total magnetic moment: 0.00 μB/f.u.
&SYSTEM
  ibrav = 0, nat = 4, ntyp = 3
/
ATOMIC_SPECIES
Mg 24.30 Mg.upf
Sc 44.96 Sc.upf
Ta 180.95 Ta.upf
CELL_PARAMETERS angstrom
-1.4047 1.6933 5.1574
1.0004 -5.6922 -0.6274
2.5033 -0.1473 1.2888
ATOMIC_POSITIONS crystal
Mg 0.0000 0.5000 0.5000
Sc 0.5000 0.5000 0.0000
Ta 0.0000 0.0000 0.0000
Ta 0.5000 0.0000 0.5000


! Ca12Al3F5 PBE relaxed; values from VASP
! * calculated total energy: -72.5 eV per formula unit
! * crystal system: cubic
! * energy relative to the elements, uncorrected: -1.40 eV per atom
! * total magnetic moment: 0.00 μB/f.u.
&SYSTEM
  ibrav = 0, nat = 80, ntyp = 3
/
ATOMIC_SPECIES
Al 26.98 Al.upf
F 19.00 F.upf
Ca 40.08 Ca.upf
CELL_PARAMETERS angstrom
14.0484 0.0000 0.0000
-4.6828 13.2449 0.0000
-4.6828 -6.6225 11.4704
ATOMIC_POSITIONS crystal
Al 0.7500 0.3750 0.1250
Al 0.8750 0.7500 0.1250
Al 0.3750 0.7500 0.6250
Al 0.2500 0.1250 0.3750
Al 0.8750 0.1250 0.2500
Al 0.3750 0.6250 0.2500
Al 0.6250 0.3750 0.7500
Al 0.1250 0.8750 0.7500
Al 0.7500 0.8750 0.6250
Al 0.6250 0.2500 0.3750
Al 0.1250 0.2500 0.8750
Al 0.2500 0.6250 0.8750
F 0.1250 0.3750 0.2500
F 0.0000 0.5000 0.0000
F 0.0000 0.0000 0.0000
F 0.3750 0.2500 0.1250
F 0.5000 0.0000 0.5000
F 0.5000 0.5000 0.0000
F 0.1250 0.7500 0.3750
F 0.7500 0.1250 0.8750
F 0.7500 0.6250 0.3750
F 0.3750 0.1250 0.7500
F 0.6250 0.8750 0.2500
F 0.5000 0.5000 0.5000
F 0.5000 0.0000 0.0000
F 0.0000 0.0000 0.5000
F 0.2500 0.3750 0.6250
F 0.2500 0.8750 0.1250
F 0.0000 0.5000 0.5000
F 0.8750 0.2500 0.6250
F 0.6250 0.7500 0.8750
F 0.8750 0.6250 0.7500
Ca 0.7102 0.1193 0.0224
Ca 0.3122 0.5224 0.4030
Ca 0.9776 0.3807 0.2898
Ca 0.5224 0.2102 0.1193
Ca 0.5909 0.7102 0.6878
Ca 0.9776 0.5970 0.1878
Ca 0.3122 0.7898 0.4091
Ca 0.0970 0.9091 0.1193
Ca 0.5970 0.9776 0.6878
Ca 0.7102 0.5909 0.1878
Ca 0.7898 0.4776 0.3807
Ca 0.8122 0.9030 0.0224
Ca 0.1193 0.7102 0.5224
Ca 0.3807 0.4030 0.0909
Ca 0.0909 0.9030 0.3807
Ca 0.4091 0.1193 0.5970
Ca 0.0909 0.1878 0.2102
Ca 0.4776 0.6878 0.0970
Ca 0.8122 0.9091 0.2898
Ca 0.1193 0.4091 0.0970
Ca 0.3807 0.9776 0.7898
Ca 0.5970 0.6193 0.4091
Ca 0.9030 0.8122 0.5224
Ca 0.7898 0.3122 0.9091
Ca 0.4030 0.3807 0.5909
Ca 0.0970 0.1878 0.4776
Ca 0.2102 0.6878 0.0909
Ca 0.1878 0.0909 0.7102
Ca 0.6193 0.0224 0.2102
Ca 0.8807 0.5909 0.9030
Ca 0.5224 0.3122 0.9030
Ca 0.5909 0.8807 0.4030
Ca 0.9091 0.8122 0.7898
Ca 0.9091 0.0970 0.6193
Ca 0.8807 0.2898 0.4776
Ca 0.1878 0.0970 0.9776
Ca 0.6193 0.5970 0.9091
Ca 0.4030 0.0224 0.3122
Ca 0.2898 0.4091 0.8122
Ca 0.2102 0.5224 0.6193
Ca 0.9030 0.0909 0.8807
Ca 0.6878 0.2102 0.5909
Ca 0.4776 0.7898 0.8807
Ca 0.0224 0.4030 0.8122
Ca 0.4091 0.2898 0.3122
Ca 0.0224 0.6193 0.7102
Ca 0.6878 0.4776 0.5970
Ca 0.2898 0.8807 0.9776


! CuHgOs2 PBE relaxed; values from VASP
! * calculated total energy: -24.1 eV per formula unit
! * crystal system: orthorhombic
! * total magnetic moment: 0.00 μB/f.u.
&SYSTEM
  ibrav = 0, nat = 4, ntyp = 3
/
ATOMIC_SPECIES
Cu 63.55 Cu.upf
Hg 200.59 Hg.upf
Os 190.23 Os.upf
CELL_PARAMETERS angstrom
5.6163 0.0045 0.0019
3.1524 4.6482 -0.0019
-3.8600 -3.3145 2.3785
ATOMIC_POSITIONS crystal
Cu 0.7500 0.2500 0.5000
Hg 0.2500 0.7500 0.5000
Os 0.9677 0.9677 0.0000
Os 0.5323 0.5323 0.0000


! K3BaTe PBE relaxed; values from VASP
! * calculated total energy: -5.8 eV per formula unit
! * crystal system: cubic
! * energy relative to the elements, uncorrected: 0.50 eV per atom
! * total magnetic moment: 1.00 μB/f.u.
&SYSTEM
  ibrav = 0, nat = 5, ntyp = 3
/
ATOMIC_SPECIES
K 39.10 K.upf
Te 127.60 Te.upf
Ba 137.33 Ba.upf
CELL_PARAMETERS angstrom
7.4310 0.0000 0.0000
0.0000 7.4310 0.0000
0.0000 0.0000 7.4310
ATOMIC_POSITIONS crystal
K 0.0000 0.5000 0.0000
K 0.0000 0.0000 0.5000
K 0.5000 0.0000 0.0000
Te 0.5000 0.5000 0.5000
Ba 0.0000 0.0000 0.0000


! BaBr PBE relaxed; values from VASP
! * calculated total energy: -6.6 eV per formula unit
! * crystal system: orthorhombic
! * energy relative to the elements, uncorrected: -1.48 eV per atom
! * total magnetic moment: 0.00 μB/f.u.
&SYSTEM
  ibrav = 0, nat = 4, ntyp = 2
/
ATOMIC_SPECIES
Ba 137.33 Ba.upf
Br 79.90 Br.upf
CELL_PARAMETERS angstrom
-10.3353 4.1587 1.7790
-8.8086 1.3434 6.9197
10.7925 -0.1939 -3.2806
ATOMIC_POSITIONS crystal
Ba 0.4046 0.6546 0.2500
Ba 0.5954 0.3454 0.7500
Br 0.8422 0.0922 0.2500
Br 0.1578 0.9078 0.7500


! PuScPb6 PBE relaxed; values from VASP
! * calculated total energy: -43.5 eV per formula unit
! * crystal system: tetragonal
! * total magnetic moment: 5.61 μB/f.u.
&SYSTEM
  ibrav = 0, nat = 8, ntyp = 3
/
ATOMIC_SPECIES
Pu 244.00 Pu.upf
Sc 44.96 Sc.upf
Pb 207.20 Pb.upf
CELL_PARAMETERS angstrom
-0.8066 -4.6743 3.0386
0.3826 -3.1094 -4.6816
7.1846 -0.5993 0.9851
ATOMIC_POSITIONS crystal
Pu 0.0000 0.0000 0.5000
Sc 0.0000 0.0000 0.0000
Pb 0.5000 0.5000 0.0000
Pb 0.5000 0.5000 0.5000
Pb 0.5000 0.0000 0.2362
Pb 0.5000 0.0000 0.7638
Pb 0.0000 0.5000 0.2362
Pb 0.0000 0.5000 0.7638


! Cr2FeP PBE relaxed; values from VASP
! * calculated total energy: -33.8 eV per formula unit
! * crystal system: orthorhombic
! * total magnetic moment: 0.00 μB/f.u.
&SYSTEM
  ibrav = 0, nat = 4, ntyp = 3
/
ATOMIC_SPECIES
Cr 52.00 Cr.upf
Fe 55.84 Fe.upf
P 30.97 P.upf
CELL_PARAMETERS angstrom
-1.0735 3.3009 -3.1350
0.6498 1.5557 -4.3628
-2.8667 -0.9867 -2.6213
ATOMIC_POSITIONS crystal
Cr 0.0218 0.0218 0.9781
Cr 0.2454 0.2454 0.2547
Fe 0.4775 0.4775 0.5223
P 0.7553 0.7553 0.7450


! LiDyMgPd PBE relaxed; values from VASP
! * calculated total energy: -15.0 eV per formula unit
! * crystal system: cubic
! * total magnetic moment: 0.00 μB/f.u.
&SYSTEM
  ibrav = 0, nat = 4, ntyp = 4
/
ATOMIC_SPECIES
Mg 24.30 Mg.upf
Li 6.94 Li.upf
Pd 106.42 Pd.upf
Dy 162.50 Dy.upf
CELL_PARAMETERS angstrom
-0.8802 -4.2680 2.0726
3.5970 -3.1476 0.6635
1.6269 -0.9012 4.4528
ATOMIC_POSITIONS crystal
Mg 0.7500 0.7500 0.7500
Li 0.0000 0.0000 0.0000
Pd 0.5000 0.5000 0.5000
Dy 0.2500 0.2500 0.2500


! LaGdAgHg PBE relaxed; values from VASP
! * calculated total energy: -23.7 eV per formula unit
! * crystal system: cubic
! * total magnetic moment: 7.46 μB/f.u.
&SYSTEM
  ibrav = 0, nat = 4, ntyp = 4
/
ATOMIC_SPECIES
Gd 157.25 Gd.upf
Hg 200.59 Hg.upf
Ag 107.87 Ag.upf
La 138.91 La.upf
CELL_PARAMETERS angstrom
-2.4484 0.1987 4.7713
2.8708 -0.4629 4.5104
0.6862 4.2585 3.1928
ATOMIC_POSITIONS crystal
Gd 0.5000 0.5000 0.5000
Hg 0.2500 0.2500 0.2500
Ag 0.7500 0.7500 0.7500
La 0.0000 0.0000 0.0000


! Ta2TcRu PBE relaxed; values from VASP
! * calculated total energy: -44.0 eV per formula unit
! * crystal system: monoclinic
! * total magnetic moment: 0.00 μB/f.u.
&SYSTEM
  ibrav = 0, nat = 4, ntyp = 3
/
ATOMIC_SPECIES
Ru 101.07 Ru.upf
Ta 180.95 Ta.upf
Tc 98.00 Tc.upf
CELL_PARAMETERS angstrom
5.1728 -0.0076 -0.0024
-2.0463 4.7509 -0.0024
0.5644 0.8563 2.6338
ATOMIC_POSITIONS crystal
Ru 0.0000 0.5000 0.5000
Ta 0.0000 0.0000 0.0000
Ta 0.5000 0.5000 0.0000
Tc 0.5000 0.0000 0.5000


! Hf2BiRuCl PBE relaxed; values from VASP
! * calculated total energy: -33.6 eV per formula unit
! * crystal system: tetragonal
! * energy relative to the elements, uncorrected: 0.27 eV per atom
! * total magnetic moment: 0.00 μB/f.u.
&SYSTEM
  ibrav = 0, nat = 5, ntyp = 4
/
ATOMIC_SPECIES
Ru 101.07 Ru.upf
Hf 178.49 Hf.upf
Bi 208.98 Bi.upf
Cl 35.45 Cl.upf
CELL_PARAMETERS angstrom
-0.1894 -4.1077 -2.4496
4.2699 0.5153 -1.1943
1.3819 -2.3940 3.9076
ATOMIC_POSITIONS crystal
Ru 0.0000 0.5000 0.0000
Hf 0.0000 0.0000 0.5000
Hf 0.5000 0.0000 0.0000
Bi 0.5000 0.5000 0.5000
Cl 0.0000 0.0000 0.0000


! ZnAsS3 PBE relaxed; values from VASP
! * calculated total energy: -15.6 eV per formula unit
! * crystal system: cubic
! * energy relative to the elements, uncorrected: 0.53 eV per atom
! * total magnetic moment: 0.00 μB/f.u.
&SYSTEM
  ibrav = 0, nat = 5, ntyp = 3
/
ATOMIC_SPECIES
S 32.06 S.upf
As 74.92 As.upf
Zn 65.41 Zn.upf
CELL_PARAMETERS angstrom
4.7282 0.0000 0.0000
0.0000 4.7282 0.0000
0.0000 0.0000 4.7282
ATOMIC_POSITIONS crystal
S 0.0000 0.5000 0.0000
S 0.0000 0.0000 0.5000
S 0.5000 0.0000 0.0000
As 0.0000 0.0000 0.0000
Zn 0.5000 0.5000 0.5000


! PuS4 PBE relaxed; values from VASP
! * calculated total energy: -30.7 eV per formula unit
! * crystal system: cubic
! * energy relative to the elements, uncorrected: 0.03 eV per atom
! * total magnetic moment: 4.94 μB/f.u.
&SYSTEM
  ibrav = 0, nat = 5, ntyp = 2
/
ATOMIC_SPECIES
S 32.06 S.upf
Pu 244.00 Pu.upf
CELL_PARAMETERS angstrom
5.1150 0.0000 0.0000
0.0000 5.1150 0.0000
0.0000 0.0000 5.1150
ATOMIC_POSITIONS crystal
S 0.0000 0.0000 0.0000
S 0.5000 0.0000 0.5000
S 0.0000 0.5000 0.5000
S 0.5000 0.5000 0.0000
Pu 0.5000 0.5000 0.5000


! ZnS8I2 PBE relaxed; values from VASP
! * calculated total energy: -35.7 eV per formula unit
! * crystal system: monoclinic
! * energy relative to the elements, uncorrected: 0.15 eV per atom
! * total magnetic moment: 0.00 μB/f.u.
&SYSTEM
  ibrav = 0, nat = 11, ntyp = 3
/
ATOMIC_SPECIES
Zn 65.41 Zn.upf
S 32.06 S.upf
I 126.90 I.upf
CELL_PARAMETERS angstrom
-3.3725 -6.4179 4.1458
6.7736 2.8561 2.8596
1.9190 6.3329 4.2928
ATOMIC_POSITIONS crystal
Zn 0.0000 0.0000 0.0000
S 0.1371 0.1752 0.6606
S 0.8629 0.3394 0.8248
S 0.9729 0.3054 0.3054
S 0.0271 0.6946 0.6946
S 0.1371 0.6606 0.1752
S 0.8629 0.8248 0.3394
S 0.2782 0.5372 0.5372
S 0.7218 0.4628 0.4628
I 0.3765 0.1274 0.1274
I 0.6235 0.8726 0.8726


! Sm7Y4Pu PBE relaxed; values from VASP
! * calculated total energy: -71.1 eV per formula unit
! * crystal system: monoclinic
! * total magnetic moment: 6.36 μB/f.u.
&SYSTEM
  ibrav = 0, nat = 12, ntyp = 3
/
ATOMIC_SPECIES
Sm 150.36 Sm.upf
Y 88.91 Y.upf
Pu 244.00 Pu.upf
CELL_PARAMETERS angstrom
5.2879 0.0000 1.4372
2.4620 5.6569 1.3883
-0.5915 -3.8460 12.6230
ATOMIC_POSITIONS crystal
Sm 0.8464 0.4108 0.8964
Sm 0.1536 0.5892 0.1036
Sm 0.2553 0.6994 0.7900
Sm 0.7447 0.3006 0.2100
Sm 0.3231 0.8168 0.5370
Sm 0.5000 0.0000 0.0000
Sm 0.6769 0.1832 0.4630
Y 0.4000 0.9291 0.2709
Y 0.6000 0.0709 0.7291
Y 0.9614 0.4483 0.6289
Y 0.0386 0.5517 0.3711
Pu 0.0000 0.0000 0.0000


! MgSc4Zn PBE relaxed; values from VASP
! * calculated total energy: -28.9 eV per formula unit
! * crystal system: tetragonal
! * total magnetic moment: 1.79 μB/f.u.
&SYSTEM
  ibrav = 0, nat = 6, ntyp = 3
/
ATOMIC_SPECIES
Mg 24.30 Mg.upf
Sc 44.96 Sc.upf
Zn 65.41 Zn.upf
CELL_PARAMETERS angstrom
3.2736 0.0000 0.0000
0.0000 3.2736 0.0000
0.0000 0.0000 12.5592
ATOMIC_POSITIONS crystal
Mg 0.5000 0.5000 0.5000
Sc 0.5000 0.5000 0.8584
Sc 0.5000 0.5000 0.1416
Sc 0.0000 0.0000 0.6774
Sc 0.0000 0.0000 0.3226
Zn 0.0000 0.0000 0.0000


! KH9Pt2 PBE relaxed; values from VASP
! * calculated total energy: -41.3 eV per formula unit
! * crystal system: hexagonal
! * total magnetic moment: 0.00 μB/f.u.
&SYSTEM
  ibrav = 0, nat = 12, ntyp = 3
/
ATOMIC_SPECIES
K 39.10 K.upf
H 1.01 H.upf
Pt 195.08 Pt.upf
CELL_PARAMETERS angstrom
-2.3067 1.7696 0.6898
-1.2073 0.8673 -6.2620
-2.7815 -4.8615 3.1704
ATOMIC_POSITIONS crystal
K 0.0000 0.0000 0.0000
H 0.5000 0.7631 0.2369
H 0.0000 0.0000 0.5000
H 0.0000 0.5000 0.5000
H 0.5000 0.7631 0.5262
H 0.5000 0.2369 0.7631
H 0.5000 0.5262 0.7631
H 0.5000 0.2369 0.4738
H 0.0000 0.5000 0.0000
H 0.5000 0.4738 0.2369
Pt 0.0000 0.6667 0.3333
Pt 0.0000 0.3333 0.6667


! Ta2InCl PBE relaxed; values from VASP
! * calculated total energy: -26.3 eV per formula unit
! * crystal system: tetragonal
! * energy relative to the elements, uncorrected: 0.50 eV per atom
! * total magnetic moment: 0.00 μB/f.u.
&SYSTEM
  ibrav = 0, nat = 4, ntyp = 3
/
ATOMIC_SPECIES
Cl 35.45 Cl.upf
In 114.82 In.upf
Ta 180.95 Ta.upf
CELL_PARAMETERS angstrom
-2.3348 0.0495 -1.8005
0.0184 -2.9469 -0.1049
-5.0756 -0.2659 6.5744
ATOMIC_POSITIONS crystal
Cl 0.5000 0.5000 0.2500
In 0.5000 0.5000 0.7500
Ta 0.0000 0.0000 0.0227
Ta 0.0000 0.0000 0.4773


! Sc3PO PBE relaxed; values from VASP
! * calculated total energy: -36.7 eV per formula unit
! * crystal system: cubic
! * energy relative to the elements, uncorrected: -1.47 eV per atom
! * total magnetic moment: 0.00 μB/f.u.
&SYSTEM
  ibrav = 0, nat = 5, ntyp = 3
/
ATOMIC_SPECIES
Sc 44.96 Sc.upf
P 30.97 P.upf
O 16.00 O.upf
CELL_PARAMETERS angstrom
4.2856 0.0000 0.0000
0.0000 4.2856 0.0000
0.0000 0.0000 4.2856
ATOMIC_POSITIONS crystal
Sc 0.0000 0.5000 0.0000
Sc 0.0000 0.0000 0.5000
Sc 0.5000 0.0000 0.0000
P 0.5000 0.5000 0.5000
O 0.0000 0.0000 0.0000


! GaSbBr3 PBE relaxed; values from VASP
! * calculated total energy: -13.5 eV per formula unit
! * crystal system: cubic
! * energy relative to the elements, uncorrected: -0.27 eV per atom
! * total magnetic moment: 0.00 μB/f.u.
&SYSTEM
  ibrav = 0, nat = 5, ntyp = 3
/
ATOMIC_SPECIES
Sb 121.76 Sb.upf
Ga 69.72 Ga.upf
Br 79.90 Br.upf
CELL_PARAMETERS angstrom
-0.6970 -5.1044 -2.5556
1.0446 -2.6451 4.9984
-5.6120 0.1415 1.2478
ATOMIC_POSITIONS crystal
Sb 0.0000 0.0000 0.0000
Ga 0.5000 0.5000 0.5000
Br 0.0000 0.5000 0.0000
Br 0.0000 0.0000 0.5000
Br 0.5000 0.0000 0.0000